(1)
DFT (GGA-PBE) results for an optimized crystal structure of Sb2TeS.

Unit cell a=3.917 b=3.917 c=8.407 alpha=76.53 beta=76.53 gamma=60.00
Sites, in units of the cell vectors:
Sb: 0.257 0.257 0.228
Sb: 0.076 0.076 0.773
Te: 0.497 0.497 0.510
S: 0.670 0.670 0.989

Properties
Symmetry = No. 160
ΔE to the lowest computed polymorph = 0.049 eV/atom
Crystal system = trigonal
Calculated volume = 26.901 A^3/atom
DFT total energy = -3.791 eV/atom
ρ = 6222 kg/m3

---

(2)
DFT (GGA-PBE) results for an optimized crystal structure of SbTeS3.

Unit cell a=4.337 b=10.917 c=12.962 alpha=90.00 beta=90.00 gamma=92.49
Sites, in units of the cell vectors:
Te: 0.711 0.157 0.448
Te: 0.711 0.657 0.052
Te: 0.289 0.843 0.552
Te: 0.289 0.343 0.948
S: 0.254 0.376 0.549
S: 0.726 0.817 0.185
S: 0.717 0.454 0.881
S: 0.283 0.046 0.381
S: 0.274 0.183 0.815
S: 0.274 0.683 0.685
S: 0.717 0.954 0.619
S: 0.746 0.124 0.049
S: 0.283 0.546 0.119
S: 0.726 0.317 0.315
S: 0.254 0.876 0.951
S: 0.746 0.624 0.451
Sb: 0.685 0.527 0.624
Sb: 0.685 0.027 0.876
Sb: 0.315 0.973 0.124
Sb: 0.315 0.473 0.376

Properties
Symmetry = No. 14
ΔE to the lowest computed polymorph = 0.000 eV/atom
Crystal system = monoclinic
Calculated volume = 30.659 A^3/atom
DFT total energy = -3.977 eV/atom
ρ = 3743 kg/m3

---

(3)
DFT (GGA-PBE) results for an optimized crystal structure of SbTe2S.

Unit cell a=7.652 b=7.652 c=6.869 alpha=56.15 beta=56.15 gamma=90.00
Sites, in units of the cell vectors:
S: 0.250 0.750 0.500
S: 0.500 0.500 0.000
Sb: 0.750 0.250 0.500
Sb: 0.000 0.000 0.000
Te: 0.607 0.125 0.250
Te: 0.375 0.393 0.750
Te: 0.143 0.625 0.250
Te: 0.875 0.857 0.750

Properties
Symmetry = No. 122
ΔE to the lowest computed polymorph = 0.051 eV/atom
Crystal system = tetragonal
Calculated volume = 30.975 A^3/atom
DFT total energy = -3.366 eV/atom
ρ = 5482 kg/m3

---

E_form (uncorrected) readings, ordered: 88; -47; 267 meV/atom